# 1
Density functional theory data (PBE) for a relaxed structure of CaLaTbPr.

The value obtained for the energy relative to the lowest polymorph listed for this composition is 66 meV/atom. The value obtained for the formation energy is 0.108 eV per atom. The value obtained for the total magnetic moment is 0.00 μB per cell. The density is 5452 kg/m³. The value obtained for the raw total energy is -15.91 eV per cell.

```
data_CaLaTbPr
_symmetry_space_group_name_H-M 'P 1'
_symmetry_Int_Tables_number 1
_cell_length_a 5.908
_cell_length_b 5.908
_cell_length_c 5.908
_cell_angle_alpha 60.00
_cell_angle_beta 60.00
_cell_angle_gamma 60.00
loop_
_symmetry_equiv_pos_as_xyz
'x,y,z'
loop_
_atom_site_label
_atom_site_type_symbol
_atom_site_fract_x
_atom_site_fract_y
_atom_site_fract_z
_atom_site_occupancy
Ca1 Ca 0.000 0.000 0.000 1
La1 La 0.250 0.250 0.250 1
Tb1 Tb 0.500 0.500 0.500 1
Pr1 Pr 0.750 0.750 0.750 1
```


# 2
Density functional theory data (PBE) for a relaxed structure of CaLa2Tb2Pr4.

The value obtained for the formation energy is 0.022 eV per atom. The value obtained for the total magnetic moment is 0.00 μB per cell. The density is 6132 kg/m³. The value obtained for the raw total energy is -40.04 eV per cell.

```
data_CaLa2Tb2Pr4
_symmetry_space_group_name_H-M 'P 1'
_symmetry_Int_Tables_number 1
_cell_length_a 9.902
_cell_length_b 9.902
_cell_length_c 9.986
_cell_angle_alpha 115.48
_cell_angle_beta 115.48
_cell_angle_gamma 21.65
loop_
_symmetry_equiv_pos_as_xyz
'x,y,z'
loop_
_atom_site_label
_atom_site_type_symbol
_atom_site_fract_x
_atom_site_fract_y
_atom_site_fract_z
_atom_site_occupancy
Ca1 Ca 0.000 0.000 0.000 1
La1 La 0.329 0.329 0.004 1
La2 La 0.671 0.671 0.996 1
Tb1 Tb 0.149 0.149 0.667 1
Tb2 Tb 0.851 0.851 0.333 1
Pr1 Pr 0.187 0.187 0.338 1
Pr2 Pr 0.481 0.481 0.655 1
Pr3 Pr 0.519 0.519 0.345 1
Pr4 Pr 0.813 0.813 0.662 1
```


# 3
Density functional theory data (PBE) for a relaxed structure of CaLa2Tb2Pr2.

The value obtained for the formation energy is 0.052 eV per atom. The value obtained for the total magnetic moment is 0.00 μB per cell. The density is 6076 kg/m³. The value obtained for the raw total energy is -30.31 eV per cell.

```
data_CaLa2Tb2Pr2
_symmetry_space_group_name_H-M 'P 1'
_symmetry_Int_Tables_number 1
_cell_length_a 6.399
_cell_length_b 6.399
_cell_length_c 8.274
_cell_angle_alpha 97.88
_cell_angle_beta 97.88
_cell_angle_gamma 48.48
loop_
_symmetry_equiv_pos_as_xyz
'x,y,z'
loop_
_atom_site_label
_atom_site_type_symbol
_atom_site_fract_x
_atom_site_fract_y
_atom_site_fract_z
_atom_site_occupancy
Ca1 Ca 0.000 0.000 0.000 1
La1 La 0.144 0.144 0.432 1
La2 La 0.856 0.856 0.568 1
Tb1 Tb 0.425 0.425 0.294 1
Tb2 Tb 0.575 0.575 0.706 1
Pr1 Pr 0.283 0.283 0.854 1
Pr2 Pr 0.717 0.717 0.146 1
```


# 4
Density functional theory data (PBE) for a relaxed structure of CaLaTbPr.

The value obtained for the energy relative to the lowest polymorph listed for this composition is 0 meV/atom. The value obtained for the formation energy is 0.042 eV per atom. The value obtained for the total magnetic moment is 0.00 μB per cell. The density is 5442 kg/m³. The value obtained for the raw total energy is -16.17 eV per cell.

```
data_CaLaTbPr
_symmetry_space_group_name_H-M 'P 1'
_symmetry_Int_Tables_number 1
_cell_length_a 3.692
_cell_length_b 3.692
_cell_length_c 10.720
_cell_angle_alpha 90.00
_cell_angle_beta 90.00
_cell_angle_gamma 90.00
loop_
_symmetry_equiv_pos_as_xyz
'x,y,z'
loop_
_atom_site_label
_atom_site_type_symbol
_atom_site_fract_x
_atom_site_fract_y
_atom_site_fract_z
_atom_site_occupancy
Ca1 Ca 0.000 0.000 0.000 1
La1 La 0.500 0.500 0.731 1
Tb1 Tb 0.000 0.000 0.494 1
Pr1 Pr 0.500 0.500 0.263 1
```